(1)
The following is a PBEsol calculation of a geometry-optimized CaSiAu3 structure, from Alexandria.

The size of the total moment comes out at 0.00 μB/atom. The value obtained for the formation energy without anion corrections is -340 meV/atom. Its total energy is -21.4 eV/f.u.

Cell lengths 4.761, 4.761, 4.761 Å; angles 90.00, 90.00, 90.00 degrees
Sites, in units of the cell vectors:
Ca 0.000 0.000 0.000
Si 0.500 0.500 0.500
Au 0.000 0.500 0.500
Au 0.500 0.000 0.500
Au 0.500 0.500 0.000

(2)
The following is a PBEsol calculation of a geometry-optimized KGe3Ir structure, from Alexandria.

The formation energy is 0.30 eV/atom. The size of the total moment comes out at 0.17 μB/atom. Its total energy is -24.3 eV/f.u.

Cell lengths 4.896, 4.896, 4.896 Å; angles 90.00, 90.00, 90.00 degrees
Sites, in units of the cell vectors:
K 0.000 0.000 0.000
Ge 0.000 0.500 0.500
Ge 0.500 0.000 0.500
Ge 0.500 0.500 0.000
Ir 0.500 0.500 0.500

(3)
The following is a PBEsol calculation of a geometry-optimized InNiPt2 structure, from Alexandria.

The formation energy is -0.20 eV/atom. The size of the total moment comes out at 0.00 μB/atom. Its total energy is -23.9 eV/f.u.

Cell lengths 4.696, 4.696, 4.689 Å; angles 102.17, 102.17, 36.54 degrees
Sites, in units of the cell vectors:
In 0.000 0.000 0.000
Ni 0.500 0.500 0.500
Pt 0.245 0.245 0.737
Pt 0.755 0.755 0.263

(4)
The following is a PBEsol calculation of a geometry-optimized MgHgI2N structure, from Alexandria.

The size of the total moment comes out at 0.32 μB/atom. The value obtained for the formation energy without anion corrections is 657 meV/atom. Its total energy is -11.1 eV/f.u.

Cell lengths 6.088, 6.088, 4.026 Å; angles 90.00, 90.00, 90.00 degrees
Sites, in units of the cell vectors:
Mg 0.000 0.000 0.000
Hg 0.500 0.500 0.500
I 0.000 0.500 0.500
I 0.500 0.000 0.500
N 0.500 0.500 0.000

(5)
The following is a PBEsol calculation of a geometry-optimized Eu2B2O5 structure, from Alexandria.

The size of the total moment comes out at 1.56 μB/atom. The value obtained for the formation energy without anion corrections is -2772 meV/atom. Its total energy is -86.4 eV/f.u.

Cell lengths 7.607, 5.273, 11.768 Å; angles 90.00, 93.81, 90.00 degrees
Sites, in units of the cell vectors:
Eu 0.118 0.035 0.367
Eu 0.118 0.465 0.867
Eu 0.375 0.582 0.162
Eu 0.375 0.918 0.662
Eu 0.625 0.082 0.338
Eu 0.625 0.418 0.838
Eu 0.882 0.535 0.133
Eu 0.882 0.965 0.633
B 0.158 0.041 0.083
B 0.158 0.459 0.583
B 0.341 0.566 0.405
B 0.341 0.934 0.905
B 0.659 0.066 0.095
B 0.659 0.434 0.595
B 0.842 0.541 0.417
B 0.842 0.959 0.917
O 0.093 0.601 0.668
O 0.093 0.899 0.168
O 0.144 0.203 0.569
O 0.144 0.297 0.069
O 0.252 0.613 0.505
O 0.252 0.887 0.005
O 0.359 0.165 0.857
O 0.359 0.335 0.357
O 0.395 0.718 0.853
O 0.395 0.782 0.353
O 0.605 0.218 0.647
O 0.605 0.282 0.147
O 0.641 0.665 0.643
O 0.641 0.835 0.143
O 0.748 0.113 0.995
O 0.748 0.387 0.495
O 0.856 0.703 0.931
O 0.856 0.797 0.431
O 0.907 0.101 0.832
O 0.907 0.399 0.332

(6)
The following is a PBEsol calculation of a geometry-optimized Na3B2PO5F4 structure, from Alexandria.

The size of the total moment comes out at 0.00 μB/atom. The value obtained for the formation energy without anion corrections is -2600 meV/atom. The value obtained for the distance to the lowest polymorph of the same formula is 0.08 kcal/mol of atoms. Its total energy is -97.0 eV/f.u.

Cell lengths 8.985, 7.008, 7.008 Å; angles 57.74, 90.00, 90.00 degrees
Sites, in units of the cell vectors:
Na 0.000 0.000 0.000
Na 0.000 0.294 0.294
Na 0.000 0.679 0.679
Na 0.500 0.000 0.000
Na 0.500 0.294 0.294
Na 0.500 0.679 0.679
B 0.250 0.107 0.646
B 0.250 0.539 0.400
B 0.750 0.400 0.539
B 0.750 0.646 0.107
P 0.250 0.340 0.862
P 0.750 0.862 0.340
O 0.106 0.343 0.970
O 0.250 0.120 0.849
O 0.250 0.317 0.439
O 0.250 0.547 0.606
O 0.394 0.343 0.970
O 0.606 0.970 0.343
O 0.750 0.439 0.317
O 0.750 0.606 0.547
O 0.750 0.849 0.120
O 0.894 0.970 0.343
F 0.121 0.660 0.271
F 0.121 0.977 0.662
F 0.379 0.660 0.271
F 0.379 0.977 0.662
F 0.621 0.271 0.660
F 0.621 0.662 0.977
F 0.879 0.271 0.660
F 0.879 0.662 0.977